No. 1
# ScMn (PBE, relaxed)
# calculated formation energy = 0.047 eV per atom
data_ScMn
_chemical_formula_sum 'Sc6 Mn6'
_space_group_name_H-M_alt 'P 1'
_space_group_IT_number 1
_cell_length_a 3.066
_cell_length_b 4.502
_cell_length_c 14.952
_cell_angle_alpha 90.00
_cell_angle_beta 90.00
_cell_angle_gamma 90.00
loop_
_space_group_symop_operation_xyz
'x,y,z'
loop_
_atom_site_label
_atom_site_type_symbol
_atom_site_fract_x
_atom_site_fract_y
_atom_site_fract_z
Sc1 Sc 0.500 0.500 0.813
Sc2 Sc 0.000 0.000 0.687
Sc3 Sc 0.000 0.500 0.000
Sc4 Sc 0.500 0.000 0.500
Sc5 Sc 0.000 0.000 0.313
Sc6 Sc 0.500 0.500 0.187
Mn1 Mn 0.000 0.000 0.878
Mn2 Mn 0.000 0.000 0.122
Mn3 Mn 0.500 0.500 0.378
Mn4 Mn 0.000 0.500 0.500
Mn5 Mn 0.500 0.500 0.622
Mn6 Mn 0.500 0.000 0.000

---

No. 2
# TiPO2F (PBE, relaxed)
# ΔE_f (raw) = -1.2554 eV per atom
data_TiPO2F
_chemical_formula_sum 'Ti1 P1 O2 F1'
_space_group_name_H-M_alt 'P 1'
_space_group_IT_number 1
_cell_length_a 3.692
_cell_length_b 3.692
_cell_length_c 5.396
_cell_angle_alpha 90.00
_cell_angle_beta 90.00
_cell_angle_gamma 90.00
loop_
_space_group_symop_operation_xyz
'x,y,z'
loop_
_atom_site_label
_atom_site_type_symbol
_atom_site_fract_x
_atom_site_fract_y
_atom_site_fract_z
Ti1 Ti 0.000 0.000 0.000
F1 F 0.500 0.500 0.500
P1 P 0.000 0.000 0.500
O1 O 0.000 0.500 0.000
O2 O 0.500 0.000 0.000

---

| no. | total magnetic moment (μB per formula unit) |
| --- | --- |
| 1 | 1.2 |
| 2 | 0.5 |